A plane-wave DFT calculation with GGA-PBEsol was carried out for an optimized crystal structure of K.

extended XYZ file:
```
4
Lattice="4.298 0.000 0.000 0.000 4.298 0.000 0.000 0.000 15.642" Properties=species:S:1:pos:R:3 pbc="T T T"
K 0.000 1.075 5.866
K 0.000 3.224 9.776
K 2.149 1.075 1.955
K 2.149 3.224 13.687
```

Calculated values
**D(E_F)**: 0.760 states/eV per atom
**ΔE_f**: 64.7 meV/atom
**Size of the total moment**: 0.0 μB per cell
**Total energy**: -1.069 eV/atom